! NdGdY (PBE-GGA, relaxed); values from VASP
! - Calculated density: 6463 kg/m3
! - Formation energy from the elements: 0.0188 eV per atom
! - Magnetization: 7.38 μB per formula unit
! - E above lowest polymorph: 0.002 eV/atom
&SYSTEM
  ibrav = 0, nat = 3, ntyp = 3
/
ATOMIC_SPECIES
Nd 144.24 Nd.upf
Y 88.91 Y.upf
Gd 157.25 Gd.upf
ATOMIC_POSITIONS angstrom
Nd 1.816 1.816 2.528
Y 0.000 0.000 0.001
Gd 0.000 0.000 5.074
CELL_PARAMETERS angstrom
3.632 0.000 0.000
0.000 3.632 0.000
-1.816 -1.816 7.602

! Pr4PdBr5 (PBE-GGA, relaxed); values from VASP
! - Calculated density: 5300 kg/m3
! - Magnetization: 0.00 μB per formula unit
! - Formation energy without anion corrections: -1.421 eV/atom
&SYSTEM
  ibrav = 0, nat = 10, ntyp = 3
/
ATOMIC_SPECIES
Pr 140.91 Pr.upf
Br 79.90 Br.upf
Pd 106.42 Pd.upf
ATOMIC_POSITIONS angstrom
Pr -7.869 -2.161 4.571
Pr -0.634 -1.090 1.535
Pr -3.143 -0.732 -1.674
Pr -10.378 -1.802 1.363
Br -6.207 -0.065 -1.813
Br -7.422 -2.517 1.589
Br -3.589 -0.376 1.309
Br -1.553 -4.085 2.228
Br -4.805 -2.827 4.711
Pd -0.288 -1.586 -1.246
CELL_PARAMETERS angstrom
-0.576 -3.172 -2.492
-2.531 -4.998 6.948
-7.905 5.277 -1.560

! Cs3NaHg3 (PBE-GGA, relaxed); values from VASP
! - Calculated density: 3036 kg/m3
! - Formation energy from the elements: 0.0601 eV per atom
! - Magnetization: 1.21 μB per formula unit
&SYSTEM
  ibrav = 0, nat = 14, ntyp = 3
/
ATOMIC_SPECIES
Hg 200.59 Hg.upf
Na 22.99 Na.upf
Cs 132.91 Cs.upf
ATOMIC_POSITIONS angstrom
Hg 1.157 -8.378 4.011
Hg 1.509 -3.229 4.582
Hg 6.997 -5.365 -3.143
Hg 7.425 -1.126 5.587
Hg 2.098 -5.221 -1.428
Hg 5.741 -0.471 0.719
Na 6.232 -5.947 2.582
Na 0.000 0.000 0.000
Cs 0.491 -5.476 1.862
Cs 9.032 -0.871 2.296
Cs 4.372 -7.867 -2.571
Cs 4.134 -0.727 4.010
Cs 4.723 -2.718 -2.000
Cs 2.175 -6.131 6.730
CELL_PARAMETERS angstrom
-0.702 -10.297 -1.142
9.797 -0.288 -3.429
3.368 -1.310 9.735

! AlNiPt2 (PBE-GGA, relaxed); values from VASP
! - Calculated density: 13753 kg/m3
! - Formation energy from the elements: -0.4451 eV per atom
! - Magnetization: 0.00 μB per formula unit
&SYSTEM
  ibrav = 0, nat = 4, ntyp = 3
/
ATOMIC_SPECIES
Ni 58.69 Ni.upf
Pt 195.08 Pt.upf
Al 26.98 Al.upf
ATOMIC_POSITIONS angstrom
Ni 1.366 -0.035 5.122
Pt 0.667 -0.021 2.559
Pt 3.220 0.587 2.829
Al 1.961 -0.074 7.673
CELL_PARAMETERS angstrom
-0.822 1.741 3.851
0.204 -2.430 3.549
3.257 0.596 2.833